A plane-wave DFT calculation with GGA+U was carried out for a relaxed CrAuI2O crystal.

a = 5.7529 Å, b = 5.7529 Å, c = 3.6636 Å
α = 90.00°, β = 90.00°, γ = 90.00°
Fractional positions:
I (0.0000, 0.5000, 0.0000)
I (0.5000, 0.0000, 0.0000)
Cr (0.0000, 0.0000, 0.0000)
Au (0.5000, 0.5000, 0.5000)
O (0.0000, 0.0000, 0.5000)

## Properties
The value obtained for the density of states at the Fermi level is 0.3509 states/eV per atom. Its calculated volume is 24.25 Å³ per atom. As for the space group: P4/mmm, No. 123. Its total magnetic moment is 2.9 μB/cell. For the calculated total energy, the calculation gives -19.908 eV per cell.